[1]
Density functional theory data (PBE-GGA) for a relaxed structure of ZnSiPAu2.

Lattice parameters (Å, degrees): 4.8245 4.8245 4.5185 90.00 90.00 90.00
With the nearest neighbours (Å) after each atom.
Sites, in units of the cell vectors:
1 Zn 0.0000 0.0000 0.0000  2 Si 2.26
2 Si 0.0000 0.0000 0.5000  2 Zn 2.26, 4 Au 2.41
3 P 0.5000 0.5000 0.0000  8 Au 3.31, 4 Zn 3.41
4 Au 0.0000 0.5000 0.5000  2 Si 2.41
5 Au 0.5000 0.0000 0.5000  2 Si 2.41

Results
Uncorrected formation energy   0.696 eV/atom
V   21.03 Å³/atom
E   -15.2 eV per cell


[2]
Density functional theory data (PBE-GGA) for a relaxed structure of Sm2P3Au6.

Lattice parameters (Å, degrees): 8.0238 8.0238 3.9275 90.00 90.00 120.00
With the nearest neighbours (Å) after each atom.
Sites, in units of the cell vectors:
1 Sm 0.3333 0.6667 0.0000  6 P 3.12, 9 Au 3.27-3.47
2 Sm 0.6667 0.3333 0.0000  6 P 3.12, 9 Au 3.27-3.47
3 P 0.0000 0.5878 0.5000  3 Au 2.37-2.53
4 P 0.4122 0.4122 0.5000  3 Au 2.37-2.53
5 P 0.5878 0.0000 0.5000  3 Au 2.37-2.53
6 Au 0.0000 0.2919 0.5000  1 P 2.37
7 Au 0.0000 0.7874 0.0000  2 P 2.53
8 Au 0.2126 0.2126 0.0000  2 P 2.53
9 Au 0.2919 0.0000 0.5000  1 P 2.37
10 Au 0.7081 0.7081 0.5000  1 P 2.37
11 Au 0.7874 0.0000 0.0000  2 P 2.53

Results
ΔE_f   -0.45 eV per atom
V   19.91 Å³/atom
E   -50.3 eV per cell


[3]
Density functional theory data (PBE-GGA) for a relaxed structure of Sm2PAu.

Lattice parameters (Å, degrees): 7.6774 7.6774 7.6774 30.57 30.57 30.57
With the nearest neighbours (Å) after each atom.
Sites, in units of the cell vectors:
1 Sm 0.0000 0.0000 0.0000  3 P 2.85, 3 Au 3.09
2 Sm 0.1841 0.1841 0.1841  3 P 2.86, 3 Au 3.09
3 P 0.5925 0.5925 0.5925  6 Sm 2.85-2.86
4 Au 0.7589 0.7589 0.7589  6 Sm 3.09

Results
ΔE_f   -1.10 eV per atom
V   25.95 Å³/atom
E   -22.5 eV per cell


Number 1 is which compound?
ZnSiPAu2


The highest V belongs to which entry?
Sm2PAu